# 1
Compound: ScBiAs2W
Source: Alexandria via LeMat-Bulk
Functional: GGA-PBE
Structure: optimized geometry

The calculation puts the density of states at the Fermi level at 7.554 states/eV/f.u. The calculation puts the volume at 24.87 Å³/atom. The formation energy is 1.103 eV/atom. The uncorrected energy is -26.95 eV for the cell shown. The calculation puts the total magnetization at 0.0 μB/f.u.

abc: 4.991 4.991 4.991
angles: 90.00 90.00 90.00
Atoms (fractional coordinates):
1 Sc 0.000 0.000 0.000
2 As 0.000 0.000 0.500
3 As 0.500 0.000 0.000
4 Bi 0.500 0.500 0.500
5 W 0.000 0.500 0.000



# 2
Compound: Bi3As5Se12
Source: Alexandria via LeMat-Bulk
Functional: GGA-PBE
Structure: optimized geometry

The calculation puts the density of states at the Fermi level at 4.437 states/eV/f.u. The calculation puts the volume at 28.29 Å³/atom. The uncorrected energy is -310.98 eV for the cell shown. The calculation puts the total magnetization at 0.0 μB/f.u. Its formation energy without anion corrections is -1.0 eV/f.u.

abc: 14.325 14.325 14.325
angles: 109.47 109.47 109.47
Atoms (fractional coordinates):
1 Bi 0.750 0.375 0.125
2 Bi 0.875 0.750 0.125
3 Bi 0.375 0.750 0.625
4 Bi 0.250 0.125 0.375
5 Bi 0.875 0.125 0.250
6 Bi 0.375 0.625 0.250
7 Bi 0.625 0.375 0.750
8 Bi 0.125 0.875 0.750
9 Bi 0.750 0.875 0.625
10 Bi 0.625 0.250 0.375
11 Bi 0.125 0.250 0.875
12 Bi 0.250 0.625 0.875
13 As 0.125 0.375 0.250
14 As 0.000 0.500 0.000
15 As 0.000 0.000 0.000
16 As 0.375 0.250 0.125
17 As 0.500 0.000 0.500
18 As 0.500 0.500 0.000
19 As 0.125 0.750 0.375
20 As 0.750 0.125 0.875
21 As 0.750 0.625 0.375
22 As 0.375 0.125 0.750
23 As 0.625 0.875 0.250
24 As 0.500 0.500 0.500
25 As 0.500 0.000 0.000
26 As 0.000 0.000 0.500
27 As 0.250 0.375 0.625
28 As 0.250 0.875 0.125
29 As 0.000 0.500 0.500
30 As 0.875 0.250 0.625
31 As 0.625 0.750 0.875
32 As 0.875 0.625 0.750
33 Se 0.713 0.127 0.039
34 Se 0.326 0.539 0.412
35 Se 0.961 0.373 0.287
36 Se 0.539 0.213 0.127
37 Se 0.586 0.713 0.674
38 Se 0.961 0.588 0.174
39 Se 0.326 0.787 0.414
40 Se 0.088 0.914 0.127
41 Se 0.588 0.961 0.674
42 Se 0.713 0.586 0.174
43 Se 0.787 0.461 0.373
44 Se 0.826 0.912 0.039
45 Se 0.127 0.713 0.539
46 Se 0.373 0.412 0.086
47 Se 0.086 0.912 0.373
48 Se 0.414 0.127 0.588
49 Se 0.086 0.174 0.213
50 Se 0.461 0.674 0.088
51 Se 0.826 0.914 0.287
52 Se 0.127 0.414 0.088
53 Se 0.373 0.961 0.787
54 Se 0.588 0.627 0.414
55 Se 0.912 0.826 0.539
56 Se 0.787 0.326 0.914
57 Se 0.412 0.373 0.586
58 Se 0.088 0.174 0.461
59 Se 0.213 0.674 0.086
60 Se 0.174 0.086 0.713
61 Se 0.627 0.039 0.213
62 Se 0.873 0.586 0.912
63 Se 0.539 0.326 0.912
64 Se 0.586 0.873 0.412
65 Se 0.914 0.826 0.787
66 Se 0.914 0.088 0.627
67 Se 0.873 0.287 0.461
68 Se 0.174 0.088 0.961
69 Se 0.627 0.588 0.914
70 Se 0.412 0.039 0.326
71 Se 0.287 0.414 0.826
72 Se 0.213 0.539 0.627
73 Se 0.912 0.086 0.873
74 Se 0.674 0.213 0.586
75 Se 0.461 0.787 0.873
76 Se 0.039 0.412 0.826
77 Se 0.414 0.287 0.326
78 Se 0.039 0.627 0.713
79 Se 0.674 0.461 0.588
80 Se 0.287 0.873 0.961



# 3
Compound: Bi4As2Se5
Source: Alexandria via LeMat-Bulk
Functional: GGA-PBE
Structure: optimized geometry

The calculation puts the density of states at the Fermi level at 4.233 states/eV/f.u. The calculation puts the volume at 40.93 Å³/atom. The uncorrected energy is -43.56 eV for the cell shown. The calculation puts the total magnetization at 0.0 μB/f.u. Its formation energy without anion corrections is -1.3 eV/f.u.

abc: 4.162 8.926 12.373
angles: 83.63 99.68 90.00
Atoms (fractional coordinates):
1 Bi 0.683 0.561 0.365
2 Bi 0.037 0.773 0.075
3 Bi 0.317 0.439 0.635
4 Bi 0.963 0.227 0.925
5 As 0.544 0.536 0.089
6 As 0.456 0.464 0.911
7 Se 0.147 0.794 0.293
8 Se 0.853 0.206 0.707
9 Se 0.218 0.333 0.435
10 Se 0.500 0.000 0.000
11 Se 0.782 0.667 0.565



# 4
Compound: BiAsSe2
Source: Alexandria via LeMat-Bulk
Functional: GGA-PBE
Structure: optimized geometry

The calculation puts the density of states at the Fermi level at 2.335 states/eV/f.u. The calculation puts the volume at 30.14 Å³/atom. The uncorrected energy is -15.00 eV for the cell shown. For the excess energy over the best structure of this formula in the dataset, the calculation gives 166 meV/atom. The calculation puts the total magnetization at 0.0 μB/f.u. Its formation energy without anion corrections is 0.5 eV/f.u.

abc: 9.115 9.115 9.115
angles: 25.17 25.17 25.17
Atoms (fractional coordinates):
1 As 0.000 0.000 0.000
2 Bi 0.500 0.500 0.500
3 Se 0.903 0.903 0.903
4 Se 0.097 0.097 0.097



# 5
Compound: Bi4As3Se
Source: Alexandria via LeMat-Bulk
Functional: GGA-PBE
Structure: optimized geometry

The calculation puts the density of states at the Fermi level at 2.549 states/eV/f.u. The calculation puts the volume at 28.69 Å³/atom. The uncorrected energy is -33.45 eV for the cell shown. The calculation puts the total magnetization at 0.0 μB/f.u. Its formation energy without anion corrections is -0.5 eV/f.u.

abc: 4.171 7.565 7.637
angles: 72.23 89.98 89.98
Atoms (fractional coordinates):
1 As 0.500 0.017 0.496
2 As 0.000 0.019 0.996
3 As 0.000 0.520 0.495
4 Bi 0.000 0.743 0.735
5 Bi 0.500 0.728 0.269
6 Bi 0.000 0.227 0.250
7 Bi 0.500 0.221 0.764
8 Se 0.500 0.525 0.994



# 6
Compound: Bi2AsSe6
Source: Alexandria via LeMat-Bulk
Functional: GGA-PBE
Structure: optimized geometry

The calculation puts the density of states at the Fermi level at 10.747 states/eV/f.u. The calculation puts the volume at 30.29 Å³/atom. The uncorrected energy is -65.19 eV for the cell shown. The calculation puts the total magnetization at 0.0 μB/f.u. Its formation energy without anion corrections is 0.7 eV/f.u.

abc: 6.465 6.465 13.048
angles: 90.00 90.00 90.00
Atoms (fractional coordinates):
1 Bi 0.500 0.500 0.335
2 Bi 0.500 0.500 0.665
3 Bi 0.000 0.000 0.165
4 Bi 0.000 0.000 0.835
5 As 0.500 0.500 0.000
6 As 0.000 0.000 0.500
7 Se 0.684 0.684 0.154
8 Se 0.684 0.684 0.846
9 Se 0.714 0.714 0.500
10 Se 0.786 0.214 0.000
11 Se 0.816 0.184 0.346
12 Se 0.816 0.184 0.654
13 Se 0.184 0.816 0.346
14 Se 0.184 0.816 0.654
15 Se 0.214 0.786 0.000
16 Se 0.286 0.286 0.500
17 Se 0.316 0.316 0.154
18 Se 0.316 0.316 0.846



# 7
Compound: BiAsSe
Source: Alexandria via LeMat-Bulk
Functional: GGA-PBE
Structure: optimized geometry

The calculation puts the density of states at the Fermi level at 0.213 states/eV/f.u. The calculation puts the volume at 28.79 Å³/atom. The uncorrected energy is -24.91 eV for the cell shown. For the excess energy over the best structure of this formula in the dataset, the calculation gives 2 meV/atom. The calculation puts the total magnetization at 0.0 μB/f.u. Its formation energy without anion corrections is -0.4 eV/f.u.

abc: 5.722 4.081 10.373
angles: 90.23 90.00 134.52
Atoms (fractional coordinates):
1 Bi 0.290 0.579 0.211
2 Bi 0.710 0.421 0.789
3 As 0.288 0.576 0.484
4 As 0.712 0.424 0.516
5 Se 0.239 0.477 0.850
6 Se 0.761 0.523 0.150



# 8
Compound: Bi2As2Se
Source: Alexandria via LeMat-Bulk
Functional: GGA-PBE
Structure: optimized geometry

The calculation puts the density of states at the Fermi level at 2.998 states/eV/f.u. The calculation puts the volume at 25.96 Å³/atom. The uncorrected energy is -20.06 eV for the cell shown. For the excess energy over the best structure of this formula in the dataset, the calculation gives 0 meV/atom. The calculation puts the total magnetization at 0.0 μB/f.u. Its formation energy without anion corrections is 0.5 eV/f.u.

abc: 4.025 4.025 8.504
angles: 76.31 76.31 90.00
Atoms (fractional coordinates):
1 As 0.750 0.250 0.500
2 As 0.250 0.750 0.500
3 Bi 0.397 0.397 0.206
4 Bi 0.603 0.603 0.794
5 Se 0.000 0.000 0.000



# 9
Compound: Bi2As2Se
Source: Alexandria via LeMat-Bulk
Functional: GGA-PBE
Structure: optimized geometry

The calculation puts the density of states at the Fermi level at 4.637 states/eV/f.u. The calculation puts the volume at 29.22 Å³/atom. The uncorrected energy is -39.13 eV for the cell shown. For the excess energy over the best structure of this formula in the dataset, the calculation gives 98 meV/atom. The calculation puts the total magnetization at 0.0 μB/f.u. Its formation energy without anion corrections is 1.0 eV/f.u.

abc: 8.376 8.376 4.165
angles: 90.00 90.00 90.00
Atoms (fractional coordinates):
1 As 0.107 0.607 0.500
2 As 0.607 0.893 0.500
3 As 0.893 0.393 0.500
4 As 0.393 0.107 0.500
5 Bi 0.268 0.768 0.000
6 Bi 0.768 0.732 0.000
7 Bi 0.732 0.232 0.000
8 Bi 0.232 0.268 0.000
9 Se 0.000 0.000 0.000
10 Se 0.500 0.500 0.000



# 10
Compound: BiAsSe3
Source: Alexandria via LeMat-Bulk
Functional: GGA-PBE
Structure: optimized geometry

The calculation puts the volume at 32.84 Å³/atom. The uncorrected energy is -39.78 eV for the cell shown. For the excess energy over the best structure of this formula in the dataset, the calculation gives 36 meV/atom. The calculation puts the total magnetization at 0.0 μB/f.u. Its formation energy without anion corrections is -0.9 eV/f.u.

abc: 4.237 10.749 14.931
angles: 151.12 90.00 90.00
Atoms (fractional coordinates):
1 Bi 0.250 0.216 0.223
2 Bi 0.750 0.784 0.777
3 As 0.250 0.270 0.630
4 As 0.750 0.730 0.370
5 Se 0.250 0.176 0.009
6 Se 0.750 0.824 0.991
7 Se 0.250 0.809 0.309
8 Se 0.750 0.191 0.691
9 Se 0.250 0.368 0.524
10 Se 0.750 0.632 0.476



# 11
Compound: BiAsSe2
Source: Alexandria via LeMat-Bulk
Functional: GGA-PBE
Structure: optimized geometry

The calculation puts the density of states at the Fermi level at 1.679 states/eV/f.u. The calculation puts the volume at 25.61 Å³/atom. The uncorrected energy is -30.50 eV for the cell shown. For the excess energy over the best structure of this formula in the dataset, the calculation gives 103 meV/atom. The calculation puts the total magnetization at 0.0 μB/f.u. Its formation energy without anion corrections is 0.2 eV/f.u.

abc: 7.661 7.661 6.444
angles: 53.53 53.53 90.00
Atoms (fractional coordinates):
1 As 0.500 0.500 0.000
2 As 0.250 0.750 0.500
3 Bi 0.000 0.000 0.000
4 Bi 0.750 0.250 0.500
5 Se 0.598 0.125 0.250
6 Se 0.152 0.625 0.250
7 Se 0.375 0.402 0.750
8 Se 0.875 0.848 0.750



> Which value of uncorrected energy does entry 6 give?

-65.19 eV for the cell shown